(1)
Compound: Co2AgIr
Source: Alexandria
Functional: PBE-GGA
Structure: relaxed

Computed properties:
* size of the total moment: 3.5 μB/cell
* electronic total energy: -6.2031 eV per atom
* energy of formation from the pure elements: 278 meV per atom

Lattice parameters (Å, degrees): 2.6855 2.6855 7.5538 90.00 90.00 90.00
Atoms (fractional coordinates):
Co1 0.0000 0.0000 0.0000
Co2 0.5000 0.5000 0.2049
Ag1 0.5000 0.5000 0.7308
Ir1 0.0000 0.0000 0.4367

(2)
Compound: PtIN2
Source: Alexandria
Functional: PBE-GGA
Structure: relaxed

Computed properties:
* energy relative to the elements, uncorrected: 0.992 eV/atom
* size of the total moment: 0.0 μB/cell
* electronic total energy: -5.0686 eV per atom
* energy above the lowest structure with this stoichiometry: 0 meV/atom

Lattice parameters (Å, degrees): 6.5890 6.5890 6.5890 29.25 29.25 29.25
Atoms (fractional coordinates):
Pt1 0.0000 0.0000 0.0000
I1 0.5000 0.5000 0.5000
N1 0.3813 0.3813 0.3813
N2 0.6187 0.6187 0.6187

(3)
Compound: La3PmTm4
Source: Alexandria
Functional: PBE-GGA
Structure: relaxed

Computed properties:
* size of the total moment: 0.0 μB/cell
* electronic total energy: -4.5321 eV per atom
* energy of formation from the pure elements: 145 meV per atom
* energy above the lowest structure with this stoichiometry: 111 meV/atom

Lattice parameters (Å, degrees): 9.0127 9.0127 9.0127 157.84 98.39 85.87
Atoms (fractional coordinates):
La1 0.0000 0.0000 0.0000
La2 0.2565 0.7565 0.5000
La3 0.7435 0.2435 0.5000
Pm1 0.5000 0.5000 0.0000
Tm1 0.1179 0.3652 0.7528
Tm2 0.3876 0.6348 0.7528
Tm3 0.6124 0.3652 0.2472
Tm4 0.8821 0.6348 0.2472

(4)
Compound: Sm2TmTl9
Source: Alexandria
Functional: PBE-GGA
Structure: relaxed

Computed properties:
* size of the total moment: 0.0 μB/cell
* electronic total energy: -3.1903 eV per atom
* energy of formation from the pure elements: -256 meV per atom

Lattice parameters (Å, degrees): 4.7877 4.7877 14.3611 90.00 90.00 90.00
Atoms (fractional coordinates):
Sm1 0.0000 0.0000 0.1675
Sm2 0.0000 0.0000 0.8325
Tm1 0.0000 0.0000 0.5000
Tl1 0.0000 0.5000 0.0000
Tl2 0.0000 0.5000 0.3363
Tl3 0.0000 0.5000 0.6637
Tl4 0.5000 0.0000 0.0000
Tl5 0.5000 0.0000 0.3363
Tl6 0.5000 0.0000 0.6637
Tl7 0.5000 0.5000 0.1676
Tl8 0.5000 0.5000 0.5000
Tl9 0.5000 0.5000 0.8324

Among the records above, which one has the highest electronic total energy? Sm2TmTl9

The highest size of the total moment belongs to which entry? Co2AgIr

Copy entry 2 word for word.
Compound: PtIN2
Source: Alexandria
Functional: PBE-GGA
Structure: relaxed

Computed properties:
* energy relative to the elements, uncorrected: 0.992 eV/atom
* size of the total moment: 0.0 μB/cell
* electronic total energy: -5.0686 eV per atom
* energy above the lowest structure with this stoichiometry: 0 meV/atom

Lattice parameters (Å, degrees): 6.5890 6.5890 6.5890 29.25 29.25 29.25
Atoms (fractional coordinates):
Pt1 0.0000 0.0000 0.0000
I1 0.5000 0.5000 0.5000
N1 0.3813 0.3813 0.3813
N2 0.6187 0.6187 0.6187